The following is a PBE calculation of BaAgBr4 after structural relaxation, from the Alexandria database.

The structure in POSCAR format:
```
BaAgBr4
1.0
-3.775 3.775 4.090
3.775 -3.775 4.090
3.775 3.775 -4.090
Ba Ag Br
1 1 4
Cartesian
0.000 0.000 0.000 Ba
3.775 0.000 2.045 Ag
1.932 -1.854 2.036 Br
5.629 -1.843 2.054 Br
5.618 1.854 2.036 Br
1.921 1.843 2.054 Br
```

Uncorrected formation energy (eV/atom): -1.16

=====

The following is a PBE calculation of BaAg3Br after structural relaxation, from the Alexandria database.

The structure in POSCAR format:
```
BaAg3Br
1.0
6.197 0.000 0.000
0.000 6.197 0.000
0.000 0.000 6.197
Ba Ag Br
1 3 1
Cartesian
0.000 0.000 0.000 Ba
0.000 0.000 3.099 Ag
0.000 3.099 0.000 Ag
3.099 0.000 0.000 Ag
3.099 3.099 3.099 Br
```

Uncorrected formation energy (eV/atom): 0.80

=====

For reference, offset from the most stable computed form by record: 0.0144; 0.5091 eV per atom.